No. 1
Crystalline Dy3Rh at its relaxed geometry, computed with GGA-PBE.

Properties
Calculated density (Mg/m³): 9.47
Energy of formation (eV/f.u.): -1.79

Unit cell a=3.629 b=10.755 c=5.307 alpha=90.00 beta=90.00 gamma=90.00
Element x y z (fractional)
Dy  0.000  0.000  0.000
Dy  0.000  0.199  0.500
Dy  0.000  0.801  0.500
Dy  0.500  0.301  0.000
Dy  0.500  0.500  0.500
Dy  0.500  0.699  0.000
Rh  0.000  0.500  0.998
Rh  0.500  0.000  0.498

---

No. 2
Crystalline BaTa2Cu at its relaxed geometry, computed with GGA-PBE.

Properties
Calculated density (Mg/m³): 11.59
Energy of formation (eV/f.u.): 5.66

Unit cell a=5.046 b=5.046 c=3.166 alpha=90.00 beta=90.00 gamma=90.00
Element x y z (fractional)
Ba  0.000  0.000  0.000
Ta  0.000  0.500  0.500
Ta  0.500  0.000  0.500
Cu  0.500  0.500  0.000

---

No. 3
Crystalline K2Er2PaSe6 at its relaxed geometry, computed with GGA-PBE.

Properties
Calculated density (Mg/m³): 5.26
Formation energy (no corrections) (eV per atom): -1.658

Unit cell a=7.194 b=7.194 c=8.227 alpha=98.43 beta=98.43 gamma=119.99
Element x y z (fractional)
K  0.167  0.833  0.000
K  0.833  0.167  0.000
Er  0.333  0.667  0.500
Er  0.667  0.333  0.500
Pa  0.000  0.000  0.500
Se  0.066  0.400  0.700
Se  0.266  0.266  0.300
Se  0.400  0.066  0.700
Se  0.600  0.934  0.300
Se  0.734  0.734  0.700
Se  0.934  0.600  0.300

---

No. 4
Crystalline CaSiF2 at its relaxed geometry, computed with GGA-PBE.

Properties
Calculated density (Mg/m³): 1.97
Formation energy (no corrections) (eV per atom): -1.810

Unit cell a=5.926 b=5.926 c=10.201 alpha=90.00 beta=90.00 gamma=90.00
Element x y z (fractional)
Ca  0.000  0.000  0.000
Ca  0.000  0.500  0.250
Ca  0.500  0.000  0.750
Ca  0.500  0.500  0.500
Si  0.000  0.000  0.500
Si  0.000  0.500  0.750
Si  0.500  0.000  0.250
Si  0.500  0.500  0.000
F  0.148  0.250  0.125
F  0.250  0.648  0.375
F  0.250  0.852  0.875
F  0.352  0.250  0.625
F  0.648  0.750  0.625
F  0.750  0.148  0.875
F  0.750  0.352  0.375
F  0.852  0.750  0.125

---

No. 5
Crystalline NaIn3Br9 at its relaxed geometry, computed with GGA-PBE.

Properties
Calculated density (Mg/m³): 3.19
Formation energy (no corrections) (eV per atom): -0.826

Unit cell a=11.037 b=11.037 c=13.952 alpha=121.37 beta=121.37 gamma=55.27
Element x y z (fractional)
Na  0.236  0.764  0.500
Na  0.764  0.236  0.000
In  0.001  0.248  0.797
In  0.248  0.001  0.297
In  0.294  0.474  0.698
In  0.474  0.294  0.198
In  0.705  0.778  0.231
In  0.778  0.705  0.731
Br  0.107  0.123  0.630
Br  0.114  0.871  0.292
Br  0.123  0.107  0.130
Br  0.197  0.340  0.998
Br  0.289  0.725  0.716
Br  0.340  0.197  0.498
Br  0.424  0.427  0.900
Br  0.427  0.424  0.400
Br  0.506  0.739  0.254
Br  0.517  0.844  0.602
Br  0.541  0.971  0.112
Br  0.725  0.289  0.216
Br  0.739  0.506  0.754
Br  0.844  0.517  0.102
Br  0.870  0.872  0.937
Br  0.871  0.114  0.792
Br  0.872  0.870  0.437
Br  0.971  0.541  0.612

---

No. 6
Crystalline Sr2AsW at its relaxed geometry, computed with GGA-PBE.

Properties
Calculated density (Mg/m³): 6.99
Energy of formation (eV/f.u.): 2.92

Unit cell a=3.410 b=3.410 c=30.733 alpha=90.00 beta=90.00 gamma=120.00
Element x y z (fractional)
Sr  0.000  0.000  0.248
Sr  0.000  0.000  0.752
Sr  0.333  0.667  0.419
Sr  0.333  0.667  0.914
Sr  0.667  0.333  0.086
Sr  0.667  0.333  0.581
As  0.000  0.000  0.500
As  0.333  0.667  0.167
As  0.667  0.333  0.833
W  0.000  0.000  0.000
W  0.333  0.667  0.667
W  0.667  0.333  0.333

---

No. 7
Crystalline AlPtRh2 at its relaxed geometry, computed with GGA-PBE.

Properties
Calculated density (Mg/m³): 12.26
Energy of formation (eV/f.u.): -1.87

Unit cell a=2.801 b=3.755 c=5.510 alpha=90.00 beta=90.10 gamma=90.00
Element x y z (fractional)
Al  0.000  0.000  0.000
Pt  0.500  0.500  0.757
Rh  0.000  0.000  0.487
Rh  0.499  0.500  0.252

---

No. 8
Crystalline Sc2CdRh at its relaxed geometry, computed with GGA-PBE.

Properties
Calculated density (Mg/m³): 6.10
Energy of formation (eV/f.u.): -0.78

Unit cell a=3.205 b=3.205 c=28.013 alpha=90.00 beta=90.00 gamma=120.00
Element x y z (fractional)
Sc  0.000  0.000  0.000
Sc  0.000  0.000  0.236
Sc  0.333  0.667  0.667
Sc  0.333  0.667  0.902
Sc  0.667  0.333  0.333
Sc  0.667  0.333  0.569
Cd  0.000  0.000  0.758
Cd  0.333  0.667  0.424
Cd  0.667  0.333  0.091
Rh  0.000  0.000  0.503
Rh  0.333  0.667  0.169
Rh  0.667  0.333  0.836

---

No. 9
Crystalline CaLa6Dy at its relaxed geometry, computed with GGA-PBE.

Properties
Calculated density (Mg/m³): 5.89
Energy of formation (eV/f.u.): 0.23

Unit cell a=5.266 b=5.266 c=10.526 alpha=90.00 beta=90.00 gamma=90.00
Element x y z (fractional)
Ca  0.000  0.000  0.000
La  0.000  0.500  0.257
La  0.000  0.500  0.743
La  0.500  0.000  0.257
La  0.500  0.000  0.743
La  0.500  0.500  0.000
La  0.500  0.500  0.500
Dy  0.000  0.000  0.500

---

No. 10
Crystalline Ti2Ni2Pd at its relaxed geometry, computed with GGA-PBE.

Properties
Calculated density (Mg/m³): 7.65
Energy of formation (eV/f.u.): -2.47

Unit cell a=6.851 b=6.851 c=2.956 alpha=90.00 beta=90.00 gamma=90.00
Element x y z (fractional)
Ti  0.171  0.329  0.000
Ti  0.329  0.829  0.000
Ti  0.671  0.171  0.000
Ti  0.829  0.671  0.000
Ni  0.127  0.627  0.500
Ni  0.373  0.127  0.500
Ni  0.627  0.873  0.500
Ni  0.873  0.373  0.500
Pd  0.000  0.000  0.500
Pd  0.500  0.500  0.500

---

No. 11
Crystalline Nd3NpIr8 at its relaxed geometry, computed with GGA-PBE.

Properties
Calculated density (Mg/m³): 16.31
Energy of formation (eV/f.u.): -7.34

Unit cell a=9.373 b=9.373 c=9.373 alpha=33.60 beta=33.60 gamma=33.60
Element x y z (fractional)
Nd  0.000  0.000  0.000
Nd  0.125  0.125  0.125
Nd  0.625  0.625  0.625
Np  0.501  0.501  0.501
Ir  0.063  0.063  0.559
Ir  0.063  0.559  0.063
Ir  0.067  0.563  0.563
Ir  0.313  0.313  0.313
Ir  0.559  0.063  0.063
Ir  0.563  0.067  0.563
Ir  0.563  0.563  0.067
Ir  0.813  0.813  0.813

---

No. 12
Crystalline Ho2TmTe at its relaxed geometry, computed with GGA-PBE.

Properties
Calculated density (Mg/m³): 9.07
Formation energy (no corrections) (eV per atom): -0.631

Unit cell a=3.898 b=12.045 c=9.765 alpha=90.00 beta=90.00 gamma=90.00
Element x y z (fractional)
Ho  0.000  0.134  0.037
Ho  0.000  0.134  0.463
Ho  0.000  0.866  0.537
Ho  0.000  0.866  0.963
Ho  0.500  0.366  0.537
Ho  0.500  0.366  0.963
Ho  0.500  0.634  0.037
Ho  0.500  0.634  0.463
Tm  0.000  0.443  0.250
Tm  0.000  0.557  0.750
Tm  0.500  0.057  0.750
Tm  0.500  0.943  0.250
Te  0.000  0.264  0.750
Te  0.000  0.736  0.250
Te  0.500  0.236  0.250
Te  0.500  0.764  0.750

---

No. 13
Crystalline TcSn2Cl at its relaxed geometry, computed with GGA-PBE.

Properties
Calculated density (Mg/m³): 6.91
Formation energy (no corrections) (eV per atom): 0.526

Unit cell a=7.090 b=7.090 c=7.090 alpha=90.00 beta=90.00 gamma=90.00
Element x y z (fractional)
Tc  0.000  0.000  0.000
Tc  0.000  0.500  0.500
Tc  0.500  0.000  0.500
Tc  0.500  0.500  0.000
Sn  0.250  0.250  0.250
Sn  0.250  0.250  0.750
Sn  0.250  0.750  0.250
Sn  0.250  0.750  0.750
Sn  0.750  0.250  0.250
Sn  0.750  0.250  0.750
Sn  0.750  0.750  0.250
Sn  0.750  0.750  0.750
Cl  0.000  0.000  0.500
Cl  0.000  0.500  0.000
Cl  0.500  0.000  0.000
Cl  0.500  0.500  0.500

---

No. 14
Crystalline Sc2TlMo at its relaxed geometry, computed with GGA-PBE.

Properties
Calculated density (Mg/m³): 7.63
Energy of formation (eV/f.u.): 1.07

Unit cell a=3.036 b=3.036 c=9.216 alpha=90.00 beta=90.00 gamma=90.00
Element x y z (fractional)
Sc  0.000  0.000  0.000
Sc  0.500  0.500  0.284
Tl  0.000  0.000  0.537
Mo  0.500  0.500  0.772

---

No. 15
Crystalline PrMg9Cu2 at its relaxed geometry, computed with GGA-PBE.

Properties
Calculated density (Mg/m³): 3.12
Energy of formation (eV/f.u.): -0.89

Unit cell a=9.126 b=9.126 c=9.126 alpha=99.69 beta=99.69 gamma=131.56
Element x y z (fractional)
Pr  0.375  0.625  0.750
Pr  0.625  0.375  0.250
Mg  0.125  0.875  0.250
Mg  0.135  0.565  0.326
Mg  0.135  0.809  0.570
Mg  0.191  0.261  0.326
Mg  0.191  0.865  0.930
Mg  0.261  0.191  0.826
Mg  0.261  0.435  0.070
Mg  0.435  0.261  0.570
Mg  0.435  0.865  0.174
Mg  0.565  0.135  0.826
Mg  0.565  0.739  0.430
Mg  0.739  0.565  0.930
Mg  0.739  0.809  0.174
Mg  0.809  0.135  0.070
Mg  0.809  0.739  0.674
Mg  0.865  0.191  0.430
Mg  0.865  0.435  0.674
Mg  0.875  0.125  0.750
Cu  0.000  0.000  0.000
Cu  0.000  0.000  0.500
Cu  0.000  0.500  0.000
Cu  0.500  0.000  0.500

---

No. 16
Crystalline Cs2RbSnAu at its relaxed geometry, computed with GGA-PBE.

Properties
Calculated density (Mg/m³): 3.35
Energy of formation (eV/f.u.): 1.96

Unit cell a=7.521 b=7.521 c=5.843 alpha=90.00 beta=90.00 gamma=90.00
Element x y z (fractional)
Cs  0.000  0.500  0.000
Cs  0.500  0.000  0.000
Rb  0.000  0.000  0.000
Sn  0.500  0.500  0.500
Au  0.000  0.000  0.500

---

No. 17
Crystalline Tb4CoSb at its relaxed geometry, computed with GGA-PBE.

Properties
Calculated density (Mg/m³): 8.33
Formation energy (no corrections) (eV per atom): -0.370

Unit cell a=8.229 b=8.229 c=7.471 alpha=105.90 beta=105.90 gamma=42.31
Element x y z (fractional)
Tb  0.041  0.792  0.552
Tb  0.208  0.959  0.948
Tb  0.211  0.423  0.852
Tb  0.423  0.211  0.352
Tb  0.577  0.789  0.648
Tb  0.789  0.577  0.148
Tb  0.792  0.041  0.052
Tb  0.959  0.208  0.448
Co  0.000  0.500  0.500
Co  0.500  0.000  0.000
Sb  0.372  0.628  0.250
Sb  0.628  0.372  0.750

---

No. 18
Crystalline Rb3MoCl at its relaxed geometry, computed with GGA-PBE.

Properties
Calculated density (Mg/m³): 2.44
Formation energy (no corrections) (eV per atom): 0.229

Unit cell a=6.411 b=6.411 c=6.411 alpha=90.00 beta=90.00 gamma=90.00
Element x y z (fractional)
Rb  0.000  0.000  0.500
Rb  0.000  0.500  0.000
Rb  0.500  0.000  0.000
Mo  0.500  0.500  0.500
Cl  0.000  0.000  0.000

---

No. 19
Crystalline CaIn2Ag10 at its relaxed geometry, computed with GGA-PBE.

Properties
Calculated density (Mg/m³): 8.46
Energy of formation (eV/f.u.): -0.57

Unit cell a=9.736 b=7.579 c=7.279 alpha=81.86 beta=50.41 gamma=47.74
Element x y z (fractional)
Ca  0.000  0.000  0.000
In  0.000  0.500  0.000
In  0.500  0.000  0.500
Ag  0.000  0.000  0.500
Ag  0.009  0.647  0.353
Ag  0.287  0.502  0.498
Ag  0.353  0.991  0.009
Ag  0.498  0.713  0.287
Ag  0.500  0.500  0.000
Ag  0.502  0.287  0.713
Ag  0.647  0.009  0.991
Ag  0.713  0.498  0.502
Ag  0.991  0.353  0.647

---

No. 20
Crystalline ZrP2CCl at its relaxed geometry, computed with GGA-PBE.

Properties
Calculated density (Mg/m³): 2.58
Formation energy (no corrections) (eV per atom): 1.333

Unit cell a=5.101 b=5.101 c=4.955 alpha=90.00 beta=90.00 gamma=90.00
Element x y z (fractional)
Zr  0.000  0.000  0.000
P  0.000  0.500  0.000
P  0.500  0.000  0.000
C  0.500  0.500  0.500
Cl  0.000  0.000  0.500

---

No. 21
Crystalline ZnAg2Hg2 at its relaxed geometry, computed with GGA-PBE.

Properties
Calculated density (Mg/m³): 10.78
Energy of formation (eV/f.u.): 0.90

Unit cell a=7.362 b=7.362 c=3.880 alpha=90.00 beta=90.00 gamma=90.00
Element x y z (fractional)
Zn  0.000  0.000  0.000
Zn  0.500  0.500  0.000
Ag  0.143  0.357  0.500
Ag  0.357  0.857  0.500
Ag  0.643  0.143  0.500
Ag  0.857  0.643  0.500
Hg  0.157  0.657  0.000
Hg  0.343  0.157  0.000
Hg  0.657  0.843  0.000
Hg  0.843  0.343  0.000

---

No. 22
Crystalline TiSnPd3 at its relaxed geometry, computed with GGA-PBE.

Properties
Calculated density (Mg/m³): 9.17
Energy of formation (eV/f.u.): -2.27

Unit cell a=4.363 b=5.490 c=7.345 alpha=90.00 beta=90.00 gamma=90.00
Element x y z (fractional)
Ti  0.250  0.250  0.070
Ti  0.750  0.750  0.930
Sn  0.250  0.750  0.338
Sn  0.750  0.250  0.662
Pd  0.250  0.250  0.430
Pd  0.250  0.511  0.784
Pd  0.250  0.989  0.784
Pd  0.750  0.011  0.216
Pd  0.750  0.489  0.216
Pd  0.750  0.750  0.570

---

No. 23
Crystalline MgCoNi2 at its relaxed geometry, computed with GGA-PBE.

Properties
Calculated density (Mg/m³): 6.72
Energy of formation (eV/f.u.): 0.27

Unit cell a=2.737 b=4.225 c=8.574 alpha=90.00 beta=90.00 gamma=90.00
Element x y z (fractional)
Mg  0.000  0.000  0.000
Mg  0.500  0.500  0.500
Co  0.000  0.500  0.233
Co  0.500  0.000  0.733
Ni  0.000  0.000  0.502
Ni  0.000  0.500  0.763
Ni  0.500  0.000  0.263
Ni  0.500  0.500  0.002

---

| no. | uncorrected energy (eV per atom) |
| --- | --- |
| 1 | -5.737 |
| 2 | -6.017 |
| 3 | -5.452 |
| 4 | -4.602 |
| 5 | -2.718 |
| 6 | -4.513 |
| 7 | -6.588 |
| 8 | -5.428 |
| 9 | -4.492 |
| 10 | -7.002 |
| 11 | -8.789 |
| 12 | -4.823 |
| 13 | -4.529 |
| 14 | -6.198 |
| 15 | -2.351 |
| 16 | -1.600 |
| 17 | -5.328 |
| 18 | -2.887 |
| 19 | -2.812 |
| 20 | -4.754 |
| 21 | -1.335 |
| 22 | -5.949 |
| 23 | -4.999 |